Entry 1:
Ba2ScWCl PBEsol optimized geometry; raw formation energy = 720.5 meV per atom; space group = P4/mmm, No. 123
1.0
6.3565 0.0000 0.0000
0.0000 6.3565 0.0000
0.0000 0.0000 4.5902
Ba Sc W Cl
2 1 1 1
direct
0.0000 0.5000 0.0000 Ba
0.5000 0.0000 0.0000 Ba
0.0000 0.0000 0.0000 Sc
0.0000 0.0000 0.5000 W
0.5000 0.5000 0.5000 Cl

=====

Entry 2:
Mg2AlAs PBEsol optimized geometry; space group = I4/mmm, No. 139; formation energy = -0.117 eV/atom; E above lowest polymorph = 13 meV per atom
1.0
-2.1299 2.1299 4.1796
2.1299 -2.1299 4.1796
2.1299 2.1299 -4.1796
Mg Al As
2 1 1
direct
0.2500 0.7500 0.5000 Mg
0.7500 0.2500 0.5000 Mg
0.0000 0.0000 0.0000 Al
0.5000 0.5000 0.0000 As

=====

Entry 3:
Na2SnAs2 PBEsol optimized geometry; space group = I4_1/acd, No. 142; formation energy = -0.323 eV/atom
1.0
-7.0863 7.0863 10.5738
7.0863 -7.0863 10.5738
7.0863 7.0863 -10.5738
Na Sn As
32 16 32
direct
0.0220 0.4780 0.2500 Na
0.0227 0.2727 0.5455 Na
0.0599 0.0891 0.2100 Na
0.0891 0.3791 0.0291 Na
0.1209 0.4109 0.4709 Na
0.1500 0.9401 0.5291 Na
0.2273 0.4773 0.9545 Na
0.2280 0.9780 0.9560 Na
0.2720 0.2280 0.7500 Na
0.2727 0.2273 0.2500 Na
0.3500 0.8791 0.7900 Na
0.3791 0.8500 0.2900 Na
0.4109 0.4401 0.2900 Na
0.4401 0.6500 0.0291 Na
0.4773 0.0227 0.2500 Na
0.4780 0.7280 0.4560 Na
0.5220 0.2720 0.5440 Na
0.5227 0.9773 0.7500 Na
0.5599 0.3500 0.9709 Na
0.5891 0.5599 0.7100 Na
0.6209 0.1500 0.7100 Na
0.6500 0.1209 0.2100 Na
0.7273 0.7727 0.7500 Na
0.7280 0.7720 0.2500 Na
0.7720 0.0220 0.0440 Na
0.7727 0.5227 0.0455 Na
0.8500 0.0599 0.4709 Na
0.8791 0.5891 0.5291 Na
0.9109 0.6209 0.9709 Na
0.9401 0.9109 0.7900 Na
0.9773 0.7273 0.4545 Na
0.9780 0.5220 0.7500 Na
0.0633 0.1123 0.7870 Sn
0.1123 0.8253 0.0490 Sn
0.1747 0.7237 0.2870 Sn
0.2237 0.6747 0.7870 Sn
0.2763 0.0633 0.4510 Sn
0.3253 0.6123 0.5490 Sn
0.3877 0.4367 0.7130 Sn
0.4367 0.2237 0.0490 Sn
0.5633 0.7763 0.9510 Sn
0.6123 0.5633 0.2870 Sn
0.6747 0.3877 0.4510 Sn
0.7237 0.9367 0.5490 Sn
0.7763 0.3253 0.2130 Sn
0.8253 0.2763 0.7130 Sn
0.8877 0.1747 0.9510 Sn
0.9367 0.8877 0.2130 Sn
0.0245 0.2745 0.7500 As
0.0664 0.7500 0.8164 As
0.0848 0.1546 0.9962 As
0.0886 0.0848 0.4303 As
0.1546 0.6584 0.0697 As
0.1584 0.6546 0.5697 As
0.2255 0.4755 0.7500 As
0.2500 0.0664 0.8164 As
0.2500 0.5664 0.3164 As
0.2745 0.0245 0.2500 As
0.3416 0.9114 0.4962 As
0.3454 0.4152 0.5038 As
0.4114 0.8416 0.9962 As
0.4152 0.4114 0.0697 As
0.4336 0.2500 0.6836 As
0.4755 0.2255 0.2500 As
0.5245 0.7745 0.7500 As
0.5664 0.7500 0.3164 As
0.5848 0.5886 0.9303 As
0.5886 0.1584 0.0038 As
0.6546 0.5848 0.4962 As
0.6584 0.0886 0.5038 As
0.7255 0.9755 0.7500 As
0.7500 0.4336 0.6836 As
0.7500 0.9336 0.1836 As
0.7745 0.5245 0.2500 As
0.8416 0.3454 0.4303 As
0.8454 0.3416 0.9303 As
0.9114 0.9152 0.5697 As
0.9152 0.8454 0.0038 As
0.9336 0.2500 0.1836 As
0.9755 0.7255 0.2500 As

=====

Entry 4:
La3MgSi PBEsol optimized geometry; raw formation energy = -10.7 meV per atom; space group = Pm-3m, No. 221
1.0
5.6793 0.0000 0.0000
0.0000 5.6793 0.0000
0.0000 0.0000 5.6793
La Mg Si
3 1 1
direct
0.0000 0.0000 0.5000 La
0.0000 0.5000 0.0000 La
0.5000 0.0000 0.0000 La
0.5000 0.5000 0.5000 Mg
0.0000 0.0000 0.0000 Si

=====

Entry 5:
Li2MgHg PBEsol optimized geometry; space group = I-4m2, No. 119; formation energy = -0.322 eV/atom; E above lowest polymorph = 0 meV per atom
1.0
-2.3241 2.3241 3.3087
2.3241 -2.3241 3.3087
2.3241 2.3241 -3.3087
Li Mg Hg
2 1 1
direct
0.0000 0.0000 0.0000 Li
0.7500 0.2500 0.5000 Li
0.2500 0.7500 0.5000 Mg
0.5000 0.5000 0.0000 Hg

=====

Entry 6:
Re2HgSb PBEsol optimized geometry; raw formation energy = 304.5 meV per atom; space group = Pm, No. 6; E above lowest polymorph = 0 meV per atom
1.0
2.9758 0.0000 0.0000
0.0000 2.9964 0.0000
-1.4494 0.0000 8.5402
Re Hg Sb
2 1 1
direct
0.0000 0.0000 0.0000 Re
0.4139 0.5000 0.8230 Re
0.7981 0.0000 0.5818 Hg
0.6154 0.5000 0.2323 Sb

=====

| no. | electronic total energy (eV/atom) | total moment (μB/atom) |
| --- | --- | --- |
| 1 | -4.623 | 0.239 |
| 2 | -3.275 | 0.000 |
| 3 | -3.778 | 0.000 |
| 4 | -4.711 | 0.000 |
| 5 | -1.876 | 0.000 |
| 6 | -7.643 | 0.000 |